Ho3TmAl2: relaxed, PBE.

a b c (Å): 4.781 8.715 8.877
angles (deg): 119.40 105.62 90.00
Fractional coordinates of all 12 atoms:
Ho (0.500, 0.250, 0.000)
Ho (0.500, 0.750, 0.000)
Ho (0.826, 0.076, 0.652)
Ho (0.174, 0.424, 0.348)
Ho (0.174, 0.924, 0.348)
Ho (0.826, 0.576, 0.652)
Tm (0.000, 0.500, 0.000)
Tm (0.000, 0.000, 0.000)
Al (0.344, 0.344, 0.687)
Al (0.656, 0.156, 0.313)
Al (0.344, 0.844, 0.687)
Al (0.656, 0.656, 0.313)

Values from the calculation:
E above lowest polymorph, eV/atom: 0.092
Calculated formation energy, eV per atom: -0.205
Calculated volume, Å³ per cell: 306
Space-group type: Cmmm (65)
Total magnetic moment, μB/atom: 0.0000